# 1
Compound: HfSbAu2
Source: Alexandria via LeMat-Bulk
Functional: GGA-PBE
Structure: optimized geometry

Output
Fermi-level density of states	2.5	states/eV/f.u.
total DFT energy (no corrections)	-21.671	eV/cell
formation energy (no corrections)	-25.1	kJ per mole of atoms
total magnetization	0.45	μB per formula unit

Unit cell a=3.2578 b=3.2578 c=7.9768 alpha=90.00 beta=90.00 gamma=90.00
Closest atoms and distances in Å follow each position.
Element x y z (fractional)
Hf 0.5000 0.5000 0.0000  8 Au 2.92, 4 Hf 3.26
Au 0.0000 0.0000 0.2260  4 Hf 2.92, 4 Sb 3.18, 4 Au 3.26
Au 0.0000 0.0000 0.7740  4 Hf 2.92, 4 Sb 3.18, 4 Au 3.26
Sb 0.5000 0.5000 0.5000  8 Au 3.18, 4 Sb 3.26


# 2
Compound: Hf2Sb2Au
Source: Alexandria via LeMat-Bulk
Functional: GGA-PBE
Structure: optimized geometry

Output
Fermi-level density of states	3.3	states/eV/f.u.
excess energy over the best structure of this formula in the dataset	161.1	meV/atom
total DFT energy (no corrections)	-64.907	eV/cell
formation energy (no corrections)	-19.8	kJ per mole of atoms
total magnetization	0.00	μB per formula unit

Unit cell a=7.8184 b=7.8184 c=3.6987 alpha=90.00 beta=90.00 gamma=90.00
Closest atoms and distances in Å follow each position.
Element x y z (fractional)
Sb 0.6540 0.1540 0.0000  6 Hf 2.91-2.97, 2 Au 2.96
Sb 0.1540 0.3460 0.0000  6 Hf 2.91-2.97, 2 Au 2.96
Sb 0.8460 0.6540 0.0000  6 Hf 2.91-2.97, 2 Au 2.96
Sb 0.3460 0.8460 0.0000  6 Hf 2.91-2.97, 2 Au 2.96
Hf 0.8577 0.3577 0.5000  6 Sb 2.91-2.97, 1 Hf 3.15
Hf 0.1423 0.6423 0.5000  6 Sb 2.91-2.97, 1 Hf 3.15
Hf 0.3577 0.1423 0.5000  6 Sb 2.91-2.97, 1 Hf 3.15
Hf 0.6423 0.8577 0.5000  6 Sb 2.91-2.97, 1 Hf 3.15
Au 0.5000 0.5000 0.0000  4 Sb 2.96
Au 0.0000 0.0000 0.0000  4 Sb 2.96


# 3
Compound: HfSbAu
Source: Alexandria via LeMat-Bulk
Functional: GGA-PBE
Structure: optimized geometry

Output
Fermi-level density of states	1.6	states/eV/f.u.
total DFT energy (no corrections)	-18.017	eV/cell
formation energy (no corrections)	-21.4	kJ per mole of atoms
total magnetization	0.00	μB per formula unit

Unit cell a=3.8531 b=3.8531 c=5.1566 alpha=111.94 beta=111.94 gamma=90.00
Closest atoms and distances in Å follow each position.
Element x y z (fractional)
Hf 0.2894 0.2894 0.5789  5 Au 2.87-3.12, 5 Sb 3.03-3.04
Au 0.6170 0.6170 0.2339  5 Sb 2.86-3.12, 5 Hf 2.87-3.12
Sb 0.9436 0.9436 0.8872  5 Au 2.86-3.12, 5 Hf 3.03-3.04


# 4
Compound: Hf2TaSbAu
Source: Alexandria via LeMat-Bulk
Functional: GGA-PBE
Structure: optimized geometry

Output
Fermi-level density of states	5.6	states/eV/f.u.
total DFT energy (no corrections)	-34.171	eV/cell
formation energy (no corrections)	96.3	kJ per mole of atoms
total magnetization	0.00	μB per formula unit

Unit cell a=5.0973 b=5.1022 c=5.0973 alpha=90.00 beta=90.00 gamma=90.00
Closest atoms and distances in Å follow each position.
Element x y z (fractional)
Hf 0.5000 0.0000 0.0000  2 Ta 2.55
Hf 0.0000 0.0000 0.5000  2 Ta 2.55
Sb 0.5000 0.5000 0.5000  4 Au 3.60, 8 Hf 3.61
Ta 0.0000 0.0000 0.0000  4 Hf 2.55, 2 Au 2.55
Au 0.0000 0.5000 0.0000  2 Ta 2.55


# 5
Compound: HfSb2TeAu
Source: Alexandria via LeMat-Bulk
Functional: GGA-PBE
Structure: optimized geometry

Output
Fermi-level density of states	5.3	states/eV/f.u.
excess energy over the best structure of this formula in the dataset	350.1	meV/atom
total DFT energy (no corrections)	-20.818	eV/cell
formation energy (no corrections)	73.3	kJ per mole of atoms
total magnetization	0.00	μB per formula unit

Unit cell a=5.2682 b=5.2682 c=5.3859 alpha=90.00 beta=90.00 gamma=90.00
Closest atoms and distances in Å follow each position.
Element x y z (fractional)
Hf 0.5000 0.5000 0.5000  4 Te 3.73, 8 Sb 3.77
Sb 0.5000 0.0000 0.0000  2 Au 2.63
Sb 0.0000 0.5000 0.0000  2 Au 2.63
Au 0.0000 0.0000 0.0000  4 Sb 2.63, 2 Te 2.69
Te 0.0000 0.0000 0.5000  2 Au 2.69


# 6
Compound: HfSb2TeAu
Source: Alexandria via LeMat-Bulk
Functional: GGA-PBE
Structure: optimized geometry

Output
Fermi-level density of states	4.8	states/eV/f.u.
excess energy over the best structure of this formula in the dataset	0.0	meV/atom
total DFT energy (no corrections)	-22.568	eV/cell
formation energy (no corrections)	39.5	kJ per mole of atoms
total magnetization	0.00	μB per formula unit

Unit cell a=5.5104 b=5.5104 c=5.4212 alpha=90.00 beta=90.00 gamma=90.00
Closest atoms and distances in Å follow each position.
Element x y z (fractional)
Te 0.0000 0.0000 0.5000  2 Hf 2.71
Sb 0.0000 0.5000 0.0000  2 Hf 2.76
Sb 0.5000 0.0000 0.0000  2 Hf 2.76
Hf 0.0000 0.0000 0.0000  2 Te 2.71, 4 Sb 2.76
Au 0.5000 0.5000 0.5000  8 Sb 3.87, 4 Te 3.90


# 7
Compound: HfScAu2
Source: Alexandria via LeMat-Bulk
Functional: GGA-PBE
Structure: optimized geometry

Output
energy relative to the elements	-0.187	eV/atom
Fermi-level density of states	5.4	states/eV/f.u.
total DFT energy (no corrections)	-47.179	eV/cell
total magnetization	0.00	μB per formula unit

Unit cell a=7.2878 b=7.2878 c=6.1677 alpha=53.79 beta=53.79 gamma=90.00
Closest atoms and distances in Å follow each position.
Element x y z (fractional)
Au 0.3750 0.3710 0.7500  2 Hf 2.69, 2 Sc 2.73
Au 0.6290 0.1250 0.2500  2 Hf 2.69, 2 Sc 2.73
Au 0.8750 0.8790 0.7500  2 Hf 2.69, 2 Sc 2.73
Au 0.1210 0.6250 0.2500  2 Hf 2.69, 2 Sc 2.73
Hf 0.7500 0.2500 0.5000  4 Au 2.69
Hf 0.0000 0.0000 0.0000  4 Au 2.69
Sc 0.5000 0.5000 0.0000  4 Au 2.73
Sc 0.2500 0.7500 0.5000  4 Au 2.73


# 8
Compound: Hf2ScAu6
Source: Alexandria via LeMat-Bulk
Functional: GGA-PBE
Structure: optimized geometry

Output
energy relative to the elements	-0.547	eV/atom
Fermi-level density of states	6.1	states/eV/f.u.
total DFT energy (no corrections)	-101.648	eV/cell
total magnetization	0.00	μB per formula unit

Unit cell a=5.0043 b=8.4884 c=8.4884 alpha=76.88 beta=81.58 gamma=81.58
Closest atoms and distances in Å follow each position.
Element x y z (fractional)
Au 0.6898 0.2403 0.9839  3 Sc 2.88-3.03, 5 Au 2.88-3.04, 2 Hf 2.90-2.95
Au 0.0249 0.5692 0.3196  5 Au 2.87-3.01, 4 Hf 2.88-3.01, 1 Sc 3.02
Au 0.6382 0.1002 0.3480  4 Hf 2.88-3.02, 5 Au 2.88-3.04, 1 Sc 2.93
Au 0.3618 0.8998 0.6520  4 Hf 2.88-3.02, 5 Au 2.88-3.04, 1 Sc 2.93
Au 0.4751 0.6804 0.4308  5 Au 2.87-3.01, 4 Hf 2.88-3.01, 1 Sc 3.02
Au 0.1383 0.3480 0.1002  4 Hf 2.88-3.02, 5 Au 2.88-3.04, 1 Sc 2.93
Au 0.3102 0.7597 0.0161  3 Sc 2.88-3.03, 5 Au 2.88-3.04, 2 Hf 2.90-2.95
Au 0.8618 0.6520 0.8998  4 Hf 2.88-3.02, 5 Au 2.88-3.04, 1 Sc 2.93
Au 0.5249 0.3196 0.5692  5 Au 2.87-3.01, 4 Hf 2.88-3.01, 1 Sc 3.02
Au 0.1898 0.9839 0.2403  3 Sc 2.88-3.03, 5 Au 2.88-3.04, 2 Hf 2.90-2.95
Au 0.9751 0.4308 0.6804  5 Au 2.87-3.01, 4 Hf 2.88-3.01, 1 Sc 3.02
Au 0.8102 0.0161 0.7597  3 Sc 2.88-3.03, 5 Au 2.88-3.04, 2 Hf 2.90-2.95
Hf 0.5816 0.4599 0.2080  10 Au 2.88-3.02
Hf 0.0816 0.2080 0.4599  10 Au 2.88-3.02
Hf 0.4184 0.5401 0.7920  10 Au 2.88-3.02
Hf 0.9184 0.7920 0.5401  10 Au 2.88-3.02
Sc 0.2500 0.1230 0.8770  10 Au 2.88-3.03
Sc 0.7500 0.8770 0.1230  10 Au 2.88-3.03